Compound: Sr6Te2Se3Br
Source: Alexandria
Functional: GGA-PBE
Structure: optimized geometry

## Properties
DOS(E_F), states/eV/f.u.: 3.1
Formation energy without anion corrections, kJ/mol of formula units: -2149
Crystal system: monoclinic
Calculated volume, Å³/cell: 401
Mass density, g cm⁻³: 4.55
Total energy, eV per atom: -4.23

a b c (Å): 10.2032 10.2032 9.1362
angles (deg): 103.63 103.63 25.75
Closest atoms and distances in Å follow each position.
Fractional coordinates of all 12 atoms:
Sr (0.0039, 0.0039, 0.2343)  3 Se 3.10-3.11, 1 Te 3.25, 2 Br 3.34
Sr (0.3271, 0.3271, 0.4252)  3 Se 3.14, 2 Te 3.28, 1 Br 3.34
Sr (0.3362, 0.3362, 0.9089)  3 Se 3.16-3.18, 3 Te 3.31-3.32
Sr (0.6638, 0.6638, 0.0911)  3 Se 3.16-3.18, 3 Te 3.31-3.32
Sr (0.6729, 0.6729, 0.5748)  3 Se 3.14, 2 Te 3.28, 1 Br 3.34
Sr (0.9961, 0.9961, 0.7657)  3 Se 3.10-3.11, 1 Te 3.25, 2 Br 3.34
Te (0.1641, 0.1641, 0.8276)  6 Sr 3.25-3.32
Te (0.8359, 0.8359, 0.1724)  6 Sr 3.25-3.32
Se (0.1643, 0.1643, 0.3346)  6 Sr 3.10-3.18
Se (0.5000, 0.5000, 0.0000)  6 Sr 3.11-3.16
Se (0.8357, 0.8357, 0.6654)  6 Sr 3.10-3.18
Br (0.5000, 0.5000, 0.5000)  6 Sr 3.34